# LiFeF4

A relaxed LiFeF4 crystal (PBE with a Hubbard U, the Alexandria database).

a = 7.932 Å, b = 7.932 Å, c = 12.831 Å
α = 120.44°, β = 120.44°, γ = 28.70°
Atoms (fractional coordinates):
Li1 0.156 0.156 0.301
Li2 0.298 0.298 0.844
Li3 0.702 0.702 0.156
Li4 0.844 0.844 0.699
Fe1 0.366 0.366 0.351
Fe2 0.470 0.470 0.133
Fe3 0.530 0.530 0.867
Fe4 0.634 0.634 0.649
F1 0.007 0.007 0.845
F2 0.145 0.145 0.673
F3 0.229 0.229 0.201
F4 0.296 0.296 0.435
F5 0.334 0.334 0.008
F6 0.379 0.379 0.752
F7 0.441 0.441 0.263
F8 0.500 0.500 0.000
F9 0.500 0.500 0.500
F10 0.559 0.559 0.737
F11 0.621 0.621 0.248
F12 0.666 0.666 0.992
F13 0.704 0.704 0.565
F14 0.771 0.771 0.799
F15 0.855 0.855 0.327
F16 0.993 0.993 0.155

Summary:
Crystal system: monoclinic
E: -5.10 eV per atom
Size of the total moment: 20.0 μB/cell
Volume: 13.77 Å³/atom
ΔE to the lowest computed polymorph: 48.0 meV per atom